# 1
Material: RbSiSe2N
Method: DFT, meta-GGA SCAN
State: single point on PBEsol structure

Formation energy (no corrections) (eV/atom): 1.871
Uncorrected energy (eV/atom): -14.17

Lattice parameters (Å, degrees): 5.7077 5.7077 4.8275 90.00 90.00 90.00
Closest atoms and distances in Å follow each position.
Atoms (fractional coordinates):
1 Rb 0.0000 0.0000 0.0000  2 N 2.41
2 Si 0.5000 0.5000 0.5000  8 Se 3.74, 4 N 4.04
3 Se 0.0000 0.5000 0.0000  2 Rb 2.85
4 Se 0.5000 0.0000 0.0000  2 Rb 2.85
5 N 0.0000 0.0000 0.5000  2 Rb 2.41

=====

# 2
Material: RbSrSeN2
Method: DFT, meta-GGA SCAN
State: single point on PBEsol structure

Formation energy (no corrections) (eV/atom): 0.960
Uncorrected energy (eV/atom): -15.37

Lattice parameters (Å, degrees): 4.9177 4.9177 6.2901 90.00 90.00 90.00
Closest atoms and distances in Å follow each position.
Atoms (fractional coordinates):
1 Rb 0.0000 0.0000 0.0000  4 N 2.46
2 Sr 0.5000 0.5000 0.5000  4 Se 3.48
3 Se 0.0000 0.0000 0.5000  2 Rb 3.15, 4 Sr 3.48
4 N 0.0000 0.5000 0.0000  2 Rb 2.46
5 N 0.5000 0.0000 0.0000  2 Rb 2.46

=====

# 3
Material: RbYSe2N
Method: DFT, meta-GGA SCAN
State: single point on PBEsol structure

Formation energy (no corrections) (eV/atom): -0.698
Uncorrected energy (eV/atom): -20.30

Lattice parameters (Å, degrees): 5.5304 5.5304 4.6035 90.00 90.00 90.00
Closest atoms and distances in Å follow each position.
Atoms (fractional coordinates):
1 Rb 0.0000 0.0000 0.0000  8 Se 3.60, 4 N 3.91
2 Y 0.5000 0.5000 0.5000  2 N 2.30
3 Se 0.0000 0.5000 0.5000  2 Y 2.77
4 Se 0.5000 0.0000 0.5000  2 Y 2.77
5 N 0.5000 0.5000 0.0000  2 Y 2.30

=====

# 4
Material: RbZrSeN2
Method: DFT, meta-GGA SCAN
State: single point on PBEsol structure

Formation energy (no corrections) (eV/atom): 2.043
Uncorrected energy (eV/atom): -15.98

Lattice parameters (Å, degrees): 4.1214 4.1214 5.5782 90.00 90.00 90.00
Closest atoms and distances in Å follow each position.
Atoms (fractional coordinates):
1 Rb 0.0000 0.0000 0.0000  4 N 2.06
2 Zr 0.5000 0.5000 0.5000  4 Se 2.91
3 Se 0.0000 0.0000 0.5000  2 Rb 2.79, 4 Zr 2.91
4 N 0.0000 0.5000 0.0000  2 Rb 2.06
5 N 0.5000 0.0000 0.0000  2 Rb 2.06